Fe2CuHg (GGA-PBE, relaxed); ΔH_f (0 K) = 0.620 eV/atom; offset from the most stable computed form = 0.3585 eV per atom; density of states at the Fermi level = 0.913 states/eV/atom; ρ = 9.985 g cm⁻³
1.0
-3.0696 1.8660 -0.6500
-1.6869 -3.1001 -0.9331
-5.0221 -1.8612 8.1217
Hg Cu Fe
2 2 4
Cartesian
0.0000 0.0000 0.0000
-5.2350 -0.3061 3.3400
-2.3782 -0.6170 -0.7916
-4.5436 -2.7891 3.1985
-3.3211 0.2747 1.5210
-2.7573 -2.1308 1.3525
-5.5853 -1.9231 5.4782
-7.8935 -2.4113 4.7254

---

NaTa2Ir (GGA-PBE, relaxed); ΔH_f (0 K) = 0.627 eV/atom; offset from the most stable computed form = 0.1980 eV per atom; density of states at the Fermi level = 0.838 states/eV/atom; ρ = 11.673 g cm⁻³
1.0
-0.2996 -5.9798 -4.7852
-2.4818 -4.4547 5.7221
-4.0328 -4.5707 -0.1741
Na Ir Ta
2 2 4
Cartesian
-1.3907 -5.2173 0.4684
-3.9527 -7.1213 3.0082
0.0000 0.0000 0.0000
-2.8615 -7.8839 -2.2455
-1.5228 -5.7801 -2.5937
-2.5796 -4.3311 3.2093
-3.9252 -7.0853 -0.1077
-5.6007 -12.8139 1.0176

---

Cs2KCaCd (GGA-PBE, relaxed); ΔH_f (0 K) = 0.102 eV/atom; density of states at the Fermi level = 0.910 states/eV/atom; ρ = 2.132 g cm⁻³
1.0
7.4564 0.0000 0.0000
0.0000 6.4075 0.0000
0.0000 0.0000 7.4564
Cs Ca K Cd
2 1 1 1
Cartesian
0.0000 0.0000 3.7282
3.7282 0.0000 0.0000
0.0000 3.2037 0.0000
3.7282 3.2037 3.7282
0.0000 0.0000 0.0000